Entry 1:
# Fe2SBr, relaxed, DFT PBE
# density of states at the Fermi level = 10.3 states/eV per cell
# raw total energy = -4.94 eV/atom
# total magnetic moment = 0.001 μB per formula unit
# calculated density = 7.1 g/cm3
data_Fe2SBr
_space_group_name_H-M_alt 'P 1'
_space_group_IT_number 1
_cell_length_a 4.205
_cell_length_b 4.205
_cell_length_c 4.205
_cell_angle_alpha 60.00
_cell_angle_beta 60.00
_cell_angle_gamma 60.00
loop_
_space_group_symop_operation_xyz
'x,y,z'
loop_
_atom_site_label
_atom_site_fract_x
_atom_site_fract_y
_atom_site_fract_z
Fe1 0.250 0.250 0.250
Fe2 0.750 0.750 0.750
S1 0.000 0.000 0.000
Br1 0.500 0.500 0.500


Entry 2:
# FeS4Br, relaxed, DFT PBE
# density of states at the Fermi level = 4.0 states/eV per cell
# raw total energy = -4.46 eV/atom
# total magnetic moment = 0.993 μB per formula unit
# calculated density = 2.4 g/cm3
data_FeS4Br
_space_group_name_H-M_alt 'P 1'
_space_group_IT_number 1
_cell_length_a 6.722
_cell_length_b 7.810
_cell_length_c 8.517
_cell_angle_alpha 93.61
_cell_angle_beta 113.05
_cell_angle_gamma 114.81
loop_
_space_group_symop_operation_xyz
'x,y,z'
loop_
_atom_site_label
_atom_site_fract_x
_atom_site_fract_y
_atom_site_fract_z
Fe1 0.020 0.471 0.155
Fe2 0.980 0.529 0.845
S1 0.060 0.763 0.243
S2 0.081 0.805 0.776
S3 0.186 0.431 0.425
S4 0.197 0.410 0.012
S5 0.803 0.590 0.988
S6 0.814 0.569 0.575
S7 0.919 0.195 0.224
S8 0.940 0.237 0.757
Br1 0.457 0.955 0.754
Br2 0.543 0.045 0.246


Entry 3:
# FeS2Br, relaxed, DFT PBE
# density of states at the Fermi level = 7.4 states/eV per cell
# raw total energy = -3.47 eV/atom
# total magnetic moment = 0.000 μB per formula unit
# calculated density = 5.3 g/cm3
data_FeS2Br
_space_group_name_H-M_alt 'P 1'
_space_group_IT_number 1
_cell_length_a 4.468
_cell_length_b 4.468
_cell_length_c 4.468
_cell_angle_alpha 60.00
_cell_angle_beta 60.00
_cell_angle_gamma 60.00
loop_
_space_group_symop_operation_xyz
'x,y,z'
loop_
_atom_site_label
_atom_site_fract_x
_atom_site_fract_y
_atom_site_fract_z
Fe1 0.000 0.000 0.000
S1 0.250 0.250 0.250
S2 0.750 0.750 0.750
Br1 0.500 0.500 0.500


Entry 4:
# FeSe2SBr, relaxed, DFT PBE
# density of states at the Fermi level = 6.7 states/eV per cell
# raw total energy = -3.64 eV/atom
# total magnetic moment = 0.000 μB per formula unit
# calculated density = 5.2 g/cm3
data_FeSe2SBr
_space_group_name_H-M_alt 'P 1'
_space_group_IT_number 1
_cell_length_a 4.613
_cell_length_b 4.613
_cell_length_c 4.866
_cell_angle_alpha 90.00
_cell_angle_beta 90.00
_cell_angle_gamma 90.00
loop_
_space_group_symop_operation_xyz
'x,y,z'
loop_
_atom_site_label
_atom_site_fract_x
_atom_site_fract_y
_atom_site_fract_z
Fe1 0.000 0.000 0.000
Se1 0.000 0.500 0.000
Se2 0.500 0.000 0.000
S1 0.500 0.500 0.500
Br1 0.000 0.000 0.500


Entry 5:
# FeSeSBr2, relaxed, DFT PBE
# density of states at the Fermi level = 6.5 states/eV per cell
# raw total energy = -3.29 eV/atom
# total magnetic moment = 0.001 μB per formula unit
# calculated density = 5.0 g/cm3
data_FeSeSBr2
_space_group_name_H-M_alt 'P 1'
_space_group_IT_number 1
_cell_length_a 4.856
_cell_length_b 4.856
_cell_length_c 4.577
_cell_angle_alpha 90.00
_cell_angle_beta 90.00
_cell_angle_gamma 90.00
loop_
_space_group_symop_operation_xyz
'x,y,z'
loop_
_atom_site_label
_atom_site_fract_x
_atom_site_fract_y
_atom_site_fract_z
Fe1 0.000 0.000 0.000
Se1 0.000 0.000 0.500
S1 0.500 0.500 0.500
Br1 0.000 0.500 0.000
Br2 0.500 0.000 0.000


Entry 6:
# FeSeSBr2, relaxed, DFT PBE
# density of states at the Fermi level = 11.3 states/eV per cell
# raw total energy = -3.04 eV/atom
# total magnetic moment = 3.899 μB per formula unit
# calculated density = 4.3 g/cm3
data_FeSeSBr2
_space_group_name_H-M_alt 'P 1'
_space_group_IT_number 1
_cell_length_a 5.027
_cell_length_b 5.027
_cell_length_c 5.047
_cell_angle_alpha 90.00
_cell_angle_beta 90.00
_cell_angle_gamma 90.00
loop_
_space_group_symop_operation_xyz
'x,y,z'
loop_
_atom_site_label
_atom_site_fract_x
_atom_site_fract_y
_atom_site_fract_z
Fe1 0.000 0.000 0.000
Se1 0.500 0.500 0.000
S1 0.500 0.500 0.500
Br1 0.000 0.500 0.500
Br2 0.500 0.000 0.500


Entry 7:
# FeSe2SBr, relaxed, DFT PBE
# density of states at the Fermi level = 6.5 states/eV per cell
# raw total energy = -3.40 eV/atom
# total magnetic moment = 3.871 μB per formula unit
# calculated density = 4.5 g/cm3
data_FeSe2SBr
_space_group_name_H-M_alt 'P 1'
_space_group_IT_number 1
_cell_length_a 4.877
_cell_length_b 4.877
_cell_length_c 5.006
_cell_angle_alpha 90.00
_cell_angle_beta 90.00
_cell_angle_gamma 90.00
loop_
_space_group_symop_operation_xyz
'x,y,z'
loop_
_atom_site_label
_atom_site_fract_x
_atom_site_fract_y
_atom_site_fract_z
Fe1 0.000 0.000 0.000
Se1 0.000 0.500 0.500
Se2 0.500 0.000 0.500
S1 0.500 0.500 0.500
Br1 0.500 0.500 0.000


Entry 8:
# TlFe2SBr, relaxed, DFT PBE
# density of states at the Fermi level = 2.5 states/eV per cell
# raw total energy = -4.81 eV/atom
# total magnetic moment = 5.999 μB per formula unit
# calculated density = 4.9 g/cm3
data_TlFe2SBr
_space_group_name_H-M_alt 'P 1'
_space_group_IT_number 1
_cell_length_a 4.351
_cell_length_b 4.351
_cell_length_c 7.648
_cell_angle_alpha 90.00
_cell_angle_beta 90.00
_cell_angle_gamma 90.00
loop_
_space_group_symop_operation_xyz
'x,y,z'
loop_
_atom_site_label
_atom_site_fract_x
_atom_site_fract_y
_atom_site_fract_z
Tl1 0.000 0.000 0.000
Fe1 0.000 0.500 0.500
Fe2 0.500 0.000 0.500
S1 0.500 0.500 0.500
Br1 0.500 0.500 0.000


Entry 9:
# YFeS2Br, relaxed, DFT PBE
# density of states at the Fermi level = 3.8 states/eV per cell
# raw total energy = -5.12 eV/atom
# total magnetic moment = 3.763 μB per formula unit
# calculated density = 3.2 g/cm3
data_YFeS2Br
_space_group_name_H-M_alt 'P 1'
_space_group_IT_number 1
_cell_length_a 5.224
_cell_length_b 5.224
_cell_length_c 5.490
_cell_angle_alpha 90.00
_cell_angle_beta 90.00
_cell_angle_gamma 90.00
loop_
_space_group_symop_operation_xyz
'x,y,z'
loop_
_atom_site_label
_atom_site_fract_x
_atom_site_fract_y
_atom_site_fract_z
Y1 0.000 0.000 0.000
Fe1 0.500 0.500 0.500
S1 0.000 0.500 0.000
S2 0.500 0.000 0.000
Br1 0.000 0.000 0.500


Entry 10:
# ZrFe2SBr, relaxed, DFT PBE
# density of states at the Fermi level = 4.8 states/eV per cell
# raw total energy = -5.83 eV/atom
# total magnetic moment = 0.001 μB per formula unit
# calculated density = 5.7 g/cm3
data_ZrFe2SBr
_space_group_name_H-M_alt 'P 1'
_space_group_IT_number 1
_cell_length_a 3.989
_cell_length_b 3.989
_cell_length_c 5.781
_cell_angle_alpha 90.00
_cell_angle_beta 90.00
_cell_angle_gamma 90.00
loop_
_space_group_symop_operation_xyz
'x,y,z'
loop_
_atom_site_label
_atom_site_fract_x
_atom_site_fract_y
_atom_site_fract_z
Zr1 0.000 0.000 0.000
Fe1 0.000 0.500 0.500
Fe2 0.500 0.000 0.500
S1 0.500 0.500 0.500
Br1 0.500 0.500 0.000


Entry 11:
# Fe2SbBr2, relaxed, DFT PBE
# density of states at the Fermi level = 9.2 states/eV per cell
# raw total energy = -4.08 eV/atom
# total magnetic moment = 0.000 μB per formula unit
# calculated density = 7.0 g/cm3
data_Fe2SbBr2
_space_group_name_H-M_alt 'P 1'
_space_group_IT_number 1
_cell_length_a 6.054
_cell_length_b 6.054
_cell_length_c 6.054
_cell_angle_alpha 139.28
_cell_angle_beta 139.28
_cell_angle_gamma 58.94
loop_
_space_group_symop_operation_xyz
'x,y,z'
loop_
_atom_site_label
_atom_site_fract_x
_atom_site_fract_y
_atom_site_fract_z
Fe1 0.103 0.103 0.000
Fe2 0.897 0.897 0.000
Sb1 0.500 0.500 0.000
Br1 0.250 0.750 0.500
Br2 0.750 0.250 0.500


Entry 12:
# FeSbBr2, relaxed, DFT PBE
# density of states at the Fermi level = 5.1 states/eV per cell
# raw total energy = -3.37 eV/atom
# total magnetic moment = 2.944 μB per formula unit
# calculated density = 6.0 g/cm3
data_FeSbBr2
_space_group_name_H-M_alt 'P 1'
_space_group_IT_number 1
_cell_length_a 5.082
_cell_length_b 5.082
_cell_length_c 5.082
_cell_angle_alpha 60.00
_cell_angle_beta 60.00
_cell_angle_gamma 60.00
loop_
_space_group_symop_operation_xyz
'x,y,z'
loop_
_atom_site_label
_atom_site_fract_x
_atom_site_fract_y
_atom_site_fract_z
Fe1 0.000 0.000 0.000
Sb1 0.500 0.500 0.500
Br1 0.250 0.250 0.250
Br2 0.750 0.750 0.750